Material: La2HfCl
Method: DFT, PBE
State: optimized geometry

Geometry as POSCAR:
```
La2HfCl
1.0
-3.128 3.128 7.383
3.128 -3.128 7.383
3.128 3.128 -7.383
La Hf Cl
4 2 2
direct
0.114 0.625 0.989 La
0.375 0.364 0.489 La
0.636 0.125 0.011 La
0.875 0.886 0.511 La
0.250 0.750 0.500 Hf
0.500 0.500 0.000 Hf
0.000 0.000 0.000 Cl
0.750 0.250 0.500 Cl
```

Summary:
* symmetry: I-42d, No. 122
* formation energy (no corrections): 0.67 eV/f.u.
* DOS(E_F): 0.33 states/eV per atom
* raw total energy: -5.246 eV/atom

---

Material: CaHfAu
Method: DFT, PBE
State: optimized geometry

Geometry as POSCAR:
```
CaHfAu
1.0
2.315 1.337 9.530
-2.315 1.337 9.530
0.000 -2.674 9.530
Ca Hf Au
2 2 2
direct
0.116 0.116 0.116 Ca
0.884 0.884 0.884 Ca
0.299 0.299 0.299 Hf
0.701 0.701 0.701 Hf
0.393 0.393 0.393 Au
0.607 0.607 0.607 Au
```

Summary:
* symmetry: R-3m, No. 166
* DOS(E_F): 0.92 states/eV per atom
* formation energy from the elements: -0.15 eV/atom
* raw total energy: -5.231 eV/atom

---

Material: LuSc2Bi
Method: DFT, PBE
State: optimized geometry

Geometry as POSCAR:
```
LuSc2Bi
1.0
3.977 0.000 0.000
0.000 3.977 0.000
0.000 0.000 6.553
Lu Sc Bi
1 2 1
direct
0.000 0.000 0.000 Lu
0.500 0.500 0.258 Sc
0.500 0.500 0.742 Sc
0.000 0.000 0.500 Bi
```

Summary:
* symmetry: P4/mmm, No. 123
* DOS(E_F): 1.43 states/eV per atom
* formation energy from the elements: -0.29 eV/atom
* raw total energy: -5.559 eV/atom